(1)
DFT (GGA-PBE) results for a relaxed structure of KBe2Tl.

The structure belongs to space group C2/m (No. 12); the cell edges are 7.334, 4.233 and 6.699 Å and the angles 90.00°, 111.51° and 90.00°. Symmetry generates all atoms from K at (0.000, 0.000, 0.000), Be at (0.174, 0.000, 0.522) and Tl at (0.000, 0.500, 0.500).

As for the total magnetic moment: 0.000 μB/f.u. The density of states at the Fermi level is 0.66 states/eV/f.u. Its total energy is -18.7 eV/cell. As for the formation energy: 0.39 eV/atom. The energy relative to the lowest polymorph listed for this composition comes out at 0.0 meV per atom.


(2)
DFT (GGA-PBE) results for a relaxed structure of SrIn2Pt.

The structure belongs to space group Imm2 (No. 44); the cell edges are 5.049, 5.628 and 7.315 Å and the angles 90.00°, 90.00° and 90.00°. Symmetry generates all atoms from Sr at (0.000, 0.000, 0.000), In at (0.000, 0.000, 0.525), In at (0.000, 0.500, 0.780) and Pt at (0.000, 0.500, 0.180).

As for the total magnetic moment: 0.000 μB/f.u. The density of states at the Fermi level is 1.99 states/eV/f.u. Its total energy is -29.4 eV/cell. As for the formation energy: -0.37 eV/atom.


(3)
DFT (GGA-PBE) results for a relaxed structure of K6Hg2Au.

The structure belongs to space group P-62m (No. 189); the cell edges are 9.4814, 9.4814 and 5.0298 Å and the angles 90.00°, 90.00° and 120.00°. Symmetry generates all atoms from K at (0.0000, 0.4004, 0.0000), K at (0.0000, 0.7521, 0.5000), Hg at (0.3333, 0.6667, 0.5000) and Au at (0.0000, 0.0000, 0.0000).

As for the total magnetic moment: 0.000 μB/f.u. The density of states at the Fermi level is 6.74 states/eV/f.u. Its total energy is -12.1 eV/cell. As for the formation energy: -0.18 eV/atom. The energy relative to the lowest polymorph listed for this composition comes out at 0.0 meV per atom.